Entry 1:
VASP calculation (GGA-PBE) on a geometry-optimized ThBiRu structure.

Unit cell a=4.628 b=4.628 c=7.160 alpha=90.00 beta=90.00 gamma=90.00
Fractional positions:
Th 0.250 0.250 0.233
Th 0.750 0.750 0.767
Bi 0.250 0.250 0.755
Bi 0.750 0.750 0.245
Ru 0.250 0.750 0.500
Ru 0.750 0.250 0.500

Computed properties:
Calculated density: 11.74 g/cm3
Uncorrected energy: -7.2327 eV per atom
ΔE_f: -0.37 eV/atom

Entry 2:
VASP calculation (GGA-PBE) on a geometry-optimized Th5Bi3Ru structure.

Unit cell a=9.712 b=9.712 c=6.526 alpha=90.00 beta=90.00 gamma=120.00
Fractional positions:
Th 0.000 0.243 0.250
Th 0.000 0.757 0.750
Th 0.243 0.000 0.250
Th 0.243 0.243 0.750
Th 0.333 0.667 0.000
Th 0.333 0.667 0.500
Th 0.667 0.333 0.000
Th 0.667 0.333 0.500
Th 0.757 0.000 0.750
Th 0.757 0.757 0.250
Bi 0.000 0.395 0.750
Bi 0.000 0.605 0.250
Bi 0.395 0.000 0.750
Bi 0.395 0.395 0.250
Bi 0.605 0.000 0.250
Bi 0.605 0.605 0.750
Ru 0.000 0.000 0.000
Ru 0.000 0.000 0.500

Computed properties:
Calculated density: 11.76 g/cm3
Uncorrected energy: -7.0245 eV per atom
ΔE_f: -0.58 eV/atom

Entry 3:
VASP calculation (GGA-PBE) on a geometry-optimized ThBiRu structure.

Unit cell a=9.030 b=9.030 c=9.030 alpha=104.28 beta=91.64 gamma=136.44
Fractional positions:
Th 0.158 0.001 0.159
Th 0.158 0.499 0.657
Th 0.582 0.355 0.726
Th 0.629 0.855 0.274
Th 0.842 0.501 0.343
Th 0.842 0.999 0.841
Bi 0.069 0.057 0.512
Bi 0.111 0.367 0.244
Bi 0.123 0.867 0.756
Bi 0.470 0.954 0.017
Bi 0.546 0.557 0.488
Bi 0.937 0.454 0.983
Ru 0.264 0.264 0.000
Ru 0.264 0.764 0.500
Ru 0.508 0.064 0.344
Ru 0.508 0.664 0.943
Ru 0.720 0.164 0.656
Ru 0.720 0.564 0.057

Computed properties:
Calculated density: 11.56 g/cm3
Uncorrected energy: -7.0621 eV per atom
ΔE_f: -0.20 eV/atom